# Ta2TcP

A relaxed Ta2TcP crystal (GGA-PBE, Alexandria).

Calculated values
Total moment, μB/f.u.: 0.00
Symmetry: P2/m (10)
Volume, Å³/atom: 15.9
Uncorrected energy, eV/atom: -10.219

```
4
Lattice="-0.998 0.171 -3.137 -1.954 -2.425 0.489 -5.079 3.110 1.784" Properties=species:S:1:pos:R:3 pbc="T T T"
Ta -3.144 -1.453 0.921
Ta -3.889 2.138 1.353
P -4.015 0.428 -0.432
Tc -1.476 -1.127 -1.324
```